No. 1
Zr2ScPb PBEsol relaxed; calculated volume = 22.46 A^3/atom; ΔE_f = -0.19 eV/atom; density = 8.0 g cm⁻³; raw total energy = -7.384 eV per atom; space-group type = Pmm2, No. 25
1.0
3.3627 0.0000 0.0000
0.0000 4.0267 0.0000
0.0000 0.0000 6.6335
Zr Sc Pb
2 1 1
direct
0.0000 0.0000 0.0000
0.5000 0.5000 0.2424
0.5000 0.5000 0.7432
0.0000 0.0000 0.4986



No. 2
BaAs3Rh PBEsol relaxed; calculated volume = 23.72 A^3/atom; ΔE_f = -0.22 eV/atom; density = 6.5 g cm⁻³; raw total energy = -5.338 eV per atom; space-group type = Pm-3m, No. 221
1.0
4.9134 0.0000 0.0000
0.0000 4.9134 0.0000
0.0000 0.0000 4.9134
Ba As Rh
1 3 1
direct
0.0000 0.0000 0.0000
0.0000 0.5000 0.5000
0.5000 0.0000 0.5000
0.5000 0.5000 0.0000
0.5000 0.5000 0.5000



No. 3
Al2O3 PBEsol relaxed; calculated volume = 8.37 A^3/atom; uncorrected formation energy = -289 kJ/mol of atoms; density = 4.0 g cm⁻³; raw total energy = -7.780 eV per atom; space-group type = Pbcn, No. 60
1.0
7.0279 0.0000 0.0000
0.0000 4.8130 0.0000
0.0000 0.0000 4.9489
Al O
8 12
direct
0.1098 0.2478 0.0312
0.1098 0.7522 0.5312
0.3902 0.2522 0.5312
0.3902 0.7478 0.0312
0.6098 0.2522 0.9688
0.6098 0.7478 0.4688
0.8902 0.2478 0.4688
0.8902 0.7522 0.9688
0.0000 0.0497 0.7500
0.0000 0.9503 0.2500
0.1539 0.3929 0.3973
0.1539 0.6071 0.8973
0.3461 0.1071 0.8973
0.3461 0.8929 0.3973
0.5000 0.4503 0.2500
0.5000 0.5497 0.7500
0.6539 0.1071 0.6027
0.6539 0.8929 0.1027
0.8461 0.3929 0.1027
0.8461 0.6071 0.6027



No. 4
LaAs2Pb PBEsol relaxed; calculated volume = 35.98 A^3/atom; ΔE_f = -0.31 eV/atom; density = 5.7 g cm⁻³; raw total energy = -5.197 eV per atom; space-group type = I-42d, No. 122
1.0
-3.3548 3.3548 6.3945
3.3548 -3.3548 6.3945
3.3548 3.3548 -6.3945
La As Pb
2 4 2
direct
0.0000 0.0000 0.0000
0.7500 0.2500 0.5000
0.1392 0.6250 0.0142
0.3750 0.3892 0.5142
0.6108 0.1250 0.9858
0.8750 0.8608 0.4858
0.2500 0.7500 0.5000
0.5000 0.5000 0.0000